Record 1
VASP calculation (GGA-PBE) on a geometry-optimized Na2PPt4 structure.

Computed properties:
E_tot: -4.5070 eV per atom
energy of formation from the pure elements: 95 meV/atom

a b c (Å): 4.526 4.526 7.984
angles (deg): 73.53 73.53 90.00
Atoms (fractional coordinates):
P (0.000, 0.000, 0.000)
Na (0.354, 0.354, 0.293)
Na (0.646, 0.646, 0.707)
Pt (0.000, 0.500, 0.000)
Pt (0.849, 0.849, 0.302)
Pt (0.151, 0.151, 0.698)
Pt (0.500, 0.000, 0.000)

***

Record 2
VASP calculation (GGA-PBE) on a geometry-optimized NaPPt structure.

Computed properties:
E_tot: -4.8712 eV per atom
energy of formation from the pure elements: -615 meV/atom

a b c (Å): 6.288 6.288 6.288
angles (deg): 90.00 90.00 90.00
Atoms (fractional coordinates):
Na (0.367, 0.867, 0.633)
Na (0.867, 0.633, 0.367)
Na (0.133, 0.133, 0.133)
Na (0.633, 0.367, 0.867)
P (0.580, 0.920, 0.080)
P (0.080, 0.580, 0.920)
P (0.420, 0.420, 0.420)
P (0.920, 0.080, 0.580)
Pt (0.655, 0.155, 0.345)
Pt (0.845, 0.845, 0.845)
Pt (0.155, 0.345, 0.655)
Pt (0.345, 0.655, 0.155)

***

Record 3
VASP calculation (GGA-PBE) on a geometry-optimized NaP2Pt structure.

Computed properties:
E_tot: -4.5112 eV per atom
energy of formation from the pure elements: 34 meV/atom

a b c (Å): 4.472 4.472 4.472
angles (deg): 60.00 60.00 60.00
Atoms (fractional coordinates):
P (0.750, 0.750, 0.750)
P (0.250, 0.250, 0.250)
Na (0.000, 0.000, 0.000)
Pt (0.500, 0.500, 0.500)

***

Record 4
VASP calculation (GGA-PBE) on a geometry-optimized RbNa2PPt structure.

Computed properties:
E_tot: -3.2901 eV per atom
energy of formation from the pure elements: -279 meV/atom

a b c (Å): 5.651 5.651 4.502
angles (deg): 90.00 90.00 90.00
Atoms (fractional coordinates):
Na (0.000, 0.500, 0.000)
Na (0.500, 0.000, 0.000)
Rb (0.500, 0.500, 0.500)
P (0.000, 0.000, 0.500)
Pt (0.000, 0.000, 0.000)

***

Record 5
VASP calculation (GGA-PBE) on a geometry-optimized RbNa2PPt structure.

Computed properties:
E_tot: -3.2754 eV per atom
energy of formation from the pure elements: -264 meV/atom

a b c (Å): 5.556 5.556 4.550
angles (deg): 90.00 90.00 90.00
Atoms (fractional coordinates):
Pt (0.000, 0.000, 0.500)
Rb (0.500, 0.500, 0.500)
P (0.000, 0.000, 0.000)
Na (0.500, 0.000, 0.000)
Na (0.000, 0.500, 0.000)

***

Record 6
VASP calculation (GGA-PBE) on a geometry-optimized Rb2NaP2Pt structure.

Computed properties:
E_tot: -3.6709 eV per atom
energy of formation from the pure elements: -318 meV/atom

a b c (Å): 6.532 6.667 8.924
angles (deg): 111.93 111.47 90.00
Atoms (fractional coordinates):
P (0.604, 0.418, 0.836)
P (0.396, 0.582, 0.164)
P (0.232, 0.918, 0.836)
P (0.768, 0.082, 0.164)
Pt (0.500, 0.750, 0.000)
Pt (0.500, 0.250, 0.000)
Rb (0.398, 0.174, 0.348)
Rb (0.602, 0.826, 0.652)
Rb (0.951, 0.674, 0.348)
Rb (0.049, 0.326, 0.652)
Na (0.000, 0.250, 0.000)
Na (0.000, 0.750, 0.000)

***

Record 7
VASP calculation (GGA-PBE) on a geometry-optimized NaPPtS2 structure.

Computed properties:
energy relative to the elements, uncorrected: 144 meV/atom
E_tot: -4.0614 eV per atom

a b c (Å): 5.094 5.094 4.394
angles (deg): 90.00 90.00 90.00
Atoms (fractional coordinates):
S (0.500, 0.000, 0.000)
S (0.000, 0.500, 0.000)
P (0.000, 0.000, 0.500)
Pt (0.000, 0.000, 0.000)
Na (0.500, 0.500, 0.500)

***

Record 8
VASP calculation (GGA-PBE) on a geometry-optimized NaPPtS2 structure.

Computed properties:
energy relative to the elements, uncorrected: 1512 meV/atom
E_tot: -2.6929 eV per atom

a b c (Å): 4.709 4.709 4.759
angles (deg): 90.00 90.00 90.00
Atoms (fractional coordinates):
S (0.500, 0.000, 0.000)
S (0.000, 0.500, 0.000)
Na (0.000, 0.000, 0.000)
P (0.000, 0.000, 0.500)
Pt (0.500, 0.500, 0.500)